Density functional theory data (PBE-GGA) for a relaxed structure of HgAs3F.

Summary:
Raw formation energy = 2.02 eV/f.u.
Crystal system = cubic

CIF file:
```
data_HgAs3F
_cell_length_a 4.6680
_cell_length_b 4.6680
_cell_length_c 4.6680
_cell_angle_alpha 90.00
_cell_angle_beta 90.00
_cell_angle_gamma 90.00
_space_group_name_H-M_alt 'P m -3 m'
_space_group_IT_number 221
_space_group_name_Hall '-P 4 2 3'
loop_
_atom_site_label
_atom_site_fract_x
_atom_site_fract_y
_atom_site_fract_z
Hg1 0.0000 0.0000 0.0000
As1 0.0000 0.5000 0.5000
F1 0.5000 0.5000 0.5000
```


Density functional theory data (PBE-GGA) for a relaxed structure of HgAsF2.

Summary:
Raw formation energy = -3.52 eV/f.u.
Crystal system = trigonal

CIF file:
```
data_HgAsF2
_cell_length_a 2.9508
_cell_length_b 2.9508
_cell_length_c 26.4068
_cell_angle_alpha 90.00
_cell_angle_beta 90.00
_cell_angle_gamma 120.00
_space_group_name_H-M_alt 'R -3 m'
_space_group_IT_number 166
_space_group_name_Hall '-R 3 2"'
loop_
_atom_site_label
_atom_site_fract_x
_atom_site_fract_y
_atom_site_fract_z
Hg1 0.0000 0.0000 0.0000
As1 0.0000 0.0000 0.5000
F1 0.0000 0.0000 0.1027
```


Density functional theory data (PBE-GGA) for a relaxed structure of HgAsF6.

Summary:
Raw formation energy = -14.42 eV/f.u.
Crystal system = monoclinic

CIF file:
```
data_HgAsF6
_cell_length_a 6.4616
_cell_length_b 7.6128
_cell_length_c 5.0041
_cell_angle_alpha 90.00
_cell_angle_beta 101.99
_cell_angle_gamma 90.00
_space_group_name_H-M_alt 'C 1 2/m 1'
_space_group_IT_number 12
loop_
_space_group_symop_operation_xyz
'x,y,z'
'-x,-y,-z'
'-x,y,-z'
'x,-y,z'
'x+1/2,y+1/2,z'
'-x+1/2,-y+1/2,-z'
'-x+1/2,y+1/2,-z'
'x+1/2,-y+1/2,z'
loop_
_atom_site_label
_atom_site_fract_x
_atom_site_fract_y
_atom_site_fract_z
Hg1 0.0000 0.0000 0.0000
As1 0.0000 0.5000 0.5000
F1 0.0888 0.3358 0.7514
F2 0.2445 0.0000 0.5820
```


Density functional theory data (PBE-GGA) for a relaxed structure of HgAs2F.

Summary:
Raw formation energy = -0.50 eV/f.u.
Crystal system = cubic

CIF file:
```
data_HgAs2F
_cell_length_a 6.5707
_cell_length_b 6.5707
_cell_length_c 6.5707
_cell_angle_alpha 90.00
_cell_angle_beta 90.00
_cell_angle_gamma 90.00
_space_group_name_H-M_alt 'F m -3 m'
_space_group_IT_number 225
_space_group_name_Hall '-F 4 2 3'
loop_
_atom_site_label
_atom_site_fract_x
_atom_site_fract_y
_atom_site_fract_z
Hg1 0.0000 0.0000 0.0000
As1 0.2500 0.2500 0.2500
F1 0.0000 0.0000 0.5000
```


Density functional theory data (PBE-GGA) for a relaxed structure of HgAsF2.

Summary:
Raw formation energy = -2.02 eV/f.u.
Crystal system = cubic

CIF file:
```
data_HgAsF2
_cell_length_a 6.2805
_cell_length_b 6.2805
_cell_length_c 6.2805
_cell_angle_alpha 90.00
_cell_angle_beta 90.00
_cell_angle_gamma 90.00
_space_group_name_H-M_alt 'F m -3 m'
_space_group_IT_number 225
_space_group_name_Hall '-F 4 2 3'
loop_
_atom_site_label
_atom_site_fract_x
_atom_site_fract_y
_atom_site_fract_z
Hg1 0.0000 0.0000 0.0000
As1 0.0000 0.0000 0.5000
F1 0.2500 0.2500 0.2500
```


Density functional theory data (PBE-GGA) for a relaxed structure of HgAs2F.

Summary:
Raw formation energy = -1.14 eV/f.u.
Crystal system = tetragonal

CIF file:
```
data_HgAs2F
_cell_length_a 3.9407
_cell_length_b 3.9407
_cell_length_c 19.9379
_cell_angle_alpha 90.00
_cell_angle_beta 90.00
_cell_angle_gamma 90.00
_space_group_name_H-M_alt 'I -4 2 d'
_space_group_IT_number 122
_space_group_name_Hall 'I -4 2bw'
loop_
_atom_site_label
_atom_site_fract_x
_atom_site_fract_y
_atom_site_fract_z
Hg1 0.0000 0.0000 0.0000
As1 0.2042 0.2500 0.6250
F1 0.0000 0.0000 0.5000
```